Version w
A relaxed Cr3GaTc crystal. Source: Alexandria, functional PBE-GGA.

## Properties
- Mass density: 5884 kg/m³

Unit cell a=4.5037 b=4.5037 c=4.5037 alpha=90.00 beta=90.00 gamma=90.00
With the nearest neighbours (Å) after each atom.
Space group Pm-3m (No. 221)
Unique sites:
1 Cr 0.0000 0.0000 0.5000  2 Ga 2.25
2 Ga 0.0000 0.0000 0.0000  6 Cr 2.25
3 Tc 0.5000 0.5000 0.5000  12 Cr 3.18

***

Version x
A relaxed Cr3GaTc crystal. Source: Alexandria, functional PBE-GGA.

## Properties
- Mass density: 5418 kg/m³

Unit cell a=4.6293 b=4.6293 c=4.6293 alpha=90.00 beta=90.00 gamma=90.00
With the nearest neighbours (Å) after each atom.
Space group Pm-3m (No. 221)
Unique sites:
1 Cr 0.0000 0.0000 0.5000  2 Tc 2.31
2 Ga 0.5000 0.5000 0.5000  12 Cr 3.27
3 Tc 0.0000 0.0000 0.0000  6 Cr 2.31

***

Relative energies, meV per atom: version w 260; version x 0.

***

Version w
A relaxed CrGaTc3 crystal. Source: Alexandria, functional PBE-GGA.

## Properties
- Mass density: 7846 kg/m³

Unit cell a=4.4476 b=4.4476 c=4.4476 alpha=90.00 beta=90.00 gamma=90.00
With the nearest neighbours (Å) after each atom.
Space group Pm-3m (No. 221)
Unique sites:
1 Cr 0.0000 0.0000 0.0000  12 Tc 3.14
2 Ga 0.5000 0.5000 0.5000  6 Tc 2.22
3 Tc 0.0000 0.5000 0.5000  2 Ga 2.22

***

Version x
A relaxed CrGaTc3 crystal. Source: Alexandria, functional PBE-GGA.

## Properties
- Mass density: 7948 kg/m³

Unit cell a=4.4285 b=4.4285 c=4.4285 alpha=90.00 beta=90.00 gamma=90.00
With the nearest neighbours (Å) after each atom.
Space group Pm-3m (No. 221)
Unique sites:
1 Cr 0.0000 0.0000 0.0000  6 Tc 2.21
2 Ga 0.5000 0.5000 0.5000  12 Tc 3.13
3 Tc 0.0000 0.0000 0.5000  2 Cr 2.21

***

Relative energies, meV per atom: version w 602; version x 0.

***

Version w
A relaxed CrGaTe3 crystal. Source: Alexandria, functional PBE-GGA.

## Properties
- Mass density: 5274 kg/m³

Unit cell a=6.9397 b=4.0729 c=11.3625 alpha=90.00 beta=98.42 gamma=90.00
With the nearest neighbours (Å) after each atom.
Space group P2_1/m (No. 11)
Unique sites:
1 Cr 0.0322 0.2500 0.1611  6 Te 2.75-2.78
2 Ga 0.4982 0.7500 0.2509  4 Te 2.60-2.75
3 Te 0.1236 0.2500 0.7197  1 Ga 2.60, 2 Cr 2.75
4 Te 0.2157 0.7500 0.0540  1 Ga 2.75, 3 Cr 2.78
5 Te 0.3340 0.2500 0.3507  2 Ga 2.67, 1 Cr 2.78

***

Version x
A relaxed CrGaTe3 crystal. Source: Alexandria, functional PBE-GGA.

## Properties
- Mass density: 5431 kg/m³

Unit cell a=5.3630 b=5.3630 c=5.3630 alpha=90.00 beta=90.00 gamma=90.00
With the nearest neighbours (Å) after each atom.
Space group Pm-3m (No. 221)
Unique sites:
1 Cr 0.0000 0.0000 0.0000  12 Te 3.79
2 Ga 0.5000 0.5000 0.5000  6 Te 2.68
3 Te 0.0000 0.5000 0.5000  2 Ga 2.68

***

Relative energies, meV per atom: version w 0; version x 876.